MoIr2Au | PBE | optimized geometry

Geometry as POSCAR:
```
MoIr2Au
1.0
2.820 0.000 0.000
0.000 2.820 0.000
0.000 0.000 7.910
Au Ir Mo
1 2 1
Direct
0.500 0.500 0.750
0.000 0.000 0.020
0.000 0.000 0.480
0.500 0.500 0.250
```

Computed properties:
- E_tot: -7.98 eV per atom
- Energy above the most stable polymorph in this dataset: 0.000 eV per atom

***

MoIr3Au | PBE | optimized geometry

Geometry as POSCAR:
```
MoIr3Au
1.0
4.704 0.000 0.000
0.000 4.704 0.000
0.000 0.000 4.704
Mo Ir Au
1 3 1
Direct
0.000 0.000 0.000
0.000 0.500 0.000
0.000 0.000 0.500
0.500 0.000 0.000
0.500 0.500 0.500
```

Computed properties:
- E_tot: -6.49 eV per atom
- Energy above the most stable polymorph in this dataset: 0.000 eV per atom

***

MoIr2Au | PBE | optimized geometry

Geometry as POSCAR:
```
MoIr2Au
1.0
2.811 0.000 0.000
0.000 3.874 0.000
0.000 0.000 5.717
Au Ir Mo
1 2 1
Direct
0.500 0.500 0.750
0.000 0.000 0.014
0.000 0.000 0.486
0.500 0.500 0.250
```

Computed properties:
- E_tot: -7.95 eV per atom
- Energy above the most stable polymorph in this dataset: 0.033 eV per atom

***

Mo2Ir2Au | PBE | optimized geometry

Geometry as POSCAR:
```
Mo2Ir2Au
1.0
7.663 0.000 0.000
0.000 7.663 0.000
0.000 0.000 2.780
Mo Ir Au
4 4 2
Direct
0.167 0.667 0.500
0.667 0.833 0.500
0.833 0.333 0.500
0.333 0.167 0.500
0.374 0.874 0.000
0.874 0.626 0.000
0.626 0.126 0.000
0.126 0.374 0.000
0.000 0.000 0.000
0.500 0.500 0.000
```

Computed properties:
- E_tot: -8.60 eV per atom
- Energy above the most stable polymorph in this dataset: 0.000 eV per atom

***

Which V belongs to each record? In order, 15.72; 20.82; 15.56; 16.32 Å³/atom.